1.
Here is a relaxed Sr3Bi3Pt crystal from Alexandria. Energies are from PBE-GGA.

Cell: 6.592 6.592 16.366 Å, 105.79 105.79 42.86°
Element x y z (fractional)
Sr1 0.040 0.040 0.387
Sr2 0.068 0.068 0.914
Sr3 0.266 0.266 0.242
Sr4 0.734 0.734 0.758
Sr5 0.932 0.932 0.086
Sr6 0.960 0.960 0.613
Bi1 0.341 0.341 0.919
Bi2 0.350 0.350 0.467
Bi3 0.439 0.439 0.756
Bi4 0.561 0.561 0.244
Bi5 0.650 0.650 0.533
Bi6 0.659 0.659 0.081
Pt1 0.239 0.239 0.610
Pt2 0.761 0.761 0.390

Its calculated density is 7.8 g cm⁻³. The value obtained for the volume is 33.0 A^3/atom. As for the electronic total energy: -3.997 eV/atom. For the formation energy, the calculation gives -0.7496 eV/atom.



2.
Here is a relaxed TaBIr crystal from Alexandria. Energies are from PBE-GGA.

Cell: 10.536 3.515 6.141 Å, 90.00 90.00 90.00°
Element x y z (fractional)
Ta1 0.041 0.000 0.223
Ta2 0.250 0.000 0.854
Ta3 0.459 0.000 0.223
Ta4 0.541 0.000 0.777
Ta5 0.750 0.000 0.146
Ta6 0.959 0.000 0.777
B1 0.086 0.500 0.951
B2 0.250 0.000 0.433
B3 0.414 0.500 0.951
B4 0.586 0.500 0.049
B5 0.750 0.000 0.567
B6 0.914 0.500 0.049
Ir1 0.123 0.500 0.578
Ir2 0.250 0.500 0.195
Ir3 0.377 0.500 0.578
Ir4 0.623 0.500 0.422
Ir5 0.750 0.500 0.805
Ir6 0.877 0.500 0.422

Its calculated density is 16.8 g cm⁻³. The value obtained for the volume is 12.6 A^3/atom. As for the electronic total energy: -9.754 eV/atom. For the formation energy, the calculation gives -0.6238 eV/atom.



3.
Here is a relaxed Sc2MnCr crystal from Alexandria. Energies are from PBE-GGA.

Cell: 5.353 5.353 5.353 Å, 135.84 135.84 64.23°
Element x y z (fractional)
Sc1 0.000 0.000 0.000
Sc2 0.750 0.250 0.500
Mn1 0.500 0.500 0.000
Cr1 0.250 0.750 0.500

Its calculated density is 4.5 g cm⁻³. The value obtained for the volume is 18.4 A^3/atom. As for the electronic total energy: -7.568 eV/atom. For the formation energy, the calculation gives 0.2963 eV/atom.



4.
Here is a relaxed Li2BiPb crystal from Alexandria. Energies are from PBE-GGA.

Cell: 3.615 3.615 7.115 Å, 90.00 90.00 90.00°
Element x y z (fractional)
Li1 0.000 0.000 0.249
Li2 0.000 0.000 0.751
Bi1 0.500 0.500 0.500
Pb1 0.500 0.500 0.000

Its calculated density is 7.7 g cm⁻³. The value obtained for the volume is 23.2 A^3/atom. As for the electronic total energy: -3.179 eV/atom. For the formation energy, the calculation gives -0.3248 eV/atom.



5.
Here is a relaxed YPuFe4 crystal from Alexandria. Energies are from PBE-GGA.

Cell: 5.089 5.089 5.089 Å, 60.00 60.00 60.00°
Element x y z (fractional)
Y1 0.000 0.000 0.000
Pu1 0.750 0.750 0.750
Fe1 0.376 0.376 0.376
Fe2 0.376 0.376 0.873
Fe3 0.376 0.873 0.376
Fe4 0.873 0.376 0.376

Its calculated density is 9.9 g cm⁻³. The value obtained for the volume is 15.5 A^3/atom. As for the electronic total energy: -8.986 eV/atom. For the formation energy, the calculation gives 0.1214 eV/atom.



6.
Here is a relaxed ThMgRh crystal from Alexandria. Energies are from PBE-GGA.

Cell: 4.743 4.743 4.743 Å, 60.00 60.00 60.00°
Element x y z (fractional)
Th1 0.000 0.000 0.000
Mg1 0.500 0.500 0.500
Rh1 0.250 0.250 0.250

Its calculated density is 7.9 g cm⁻³. The value obtained for the volume is 25.2 A^3/atom. As for the electronic total energy: -5.901 eV/atom. For the formation energy, the calculation gives -0.4461 eV/atom.



7.
Here is a relaxed MnCrPdN crystal from Alexandria. Energies are from PBE-GGA.

Cell: 6.573 6.573 6.573 Å, 26.12 26.12 26.12°
Element x y z (fractional)
Mn1 0.000 0.000 0.000
Cr1 0.225 0.225 0.225
Pd1 0.778 0.778 0.778
N1 0.603 0.603 0.603

Its calculated density is 7.8 g cm⁻³. The value obtained for the volume is 12.1 A^3/atom. The value obtained for the energy relative to the elements, uncorrected is -0.222 eV per atom. As for the electronic total energy: -8.300 eV/atom.



8.
Here is a relaxed TaNbAlOs2 crystal from Alexandria. Energies are from PBE-GGA.

Cell: 4.717 4.717 4.729 Å, 90.00 90.00 90.00°
Element x y z (fractional)
Ta1 0.000 0.000 0.000
Nb1 0.500 0.500 0.500
Al1 0.000 0.000 0.500
Os1 0.000 0.500 0.000
Os2 0.500 0.000 0.000

Its calculated density is 10.7 g cm⁻³. The value obtained for the volume is 21.0 A^3/atom. As for the electronic total energy: -7.907 eV/atom. For the formation energy, the calculation gives 1.7176 eV/atom.



9.
Here is a relaxed BaNbSe2 crystal from Alexandria. Energies are from PBE-GGA.

Cell: 9.852 9.852 9.852 Å, 21.81 21.81 21.81°
Element x y z (fractional)
Ba1 0.000 0.000 0.000
Nb1 0.500 0.500 0.500
Se1 0.112 0.112 0.112
Se2 0.888 0.888 0.888

Its calculated density is 5.6 g cm⁻³. The value obtained for the volume is 28.9 A^3/atom. The value obtained for the energy relative to the elements, uncorrected is -0.631 eV per atom. As for the electronic total energy: -5.371 eV/atom.



> Which of these has the lowest electronic total energy?

TaBIr



> The highest calculated density belongs to which entry?

TaBIr



> Look up the calculated density of the fifth one.

9.9 g cm⁻³



> What is the electronic total energy in the seventh record?

-8.300 eV/atom